## MgAgTeO (PBE)

Data for an optimized crystal structure of MgAgTeO.

a b c (Å): 3.842 3.842 12.756
angles (deg): 90.00 90.00 120.00
Fractional positions:
1 Ag 0.667 0.333 0.770
2 Te 0.333 0.667 0.617
3 O 0.000 0.000 0.828
4 Te 0.667 0.333 0.117
5 Mg 0.000 0.000 0.974
6 Ag 0.333 0.667 0.270
7 Mg 0.000 0.000 0.474
8 O 0.000 0.000 0.328

Results
- SG: No. 186
- Energy above the lowest structure with this stoichiometry: 0.624 eV per atom